DFT (GGA-PBE) results for a geometry-optimized K3Tb2USe6 structure.

Cell: 7.348 7.348 8.087 Å, 98.71 98.71 120.00°
Site moments in Bohr magnetons follow the coordinates.
Element x y z (fractional)
Se: 0.069 0.405 0.207  -0.02
K: 0.833 0.167 0.500  0.00
Tb: 0.667 0.333 0.000  0.07
Se: 0.931 0.595 0.793  -0.02
K: 0.167 0.833 0.500  0.00
Tb: 0.333 0.667 0.000  0.07
Se: 0.405 0.069 0.207  -0.02
K: 0.500 0.500 0.500  0.00
U: 0.000 0.000 0.000  2.67
Se: 0.734 0.734 0.207  -0.02
Se: 0.595 0.931 0.793  -0.02
Se: 0.266 0.266 0.793  -0.02

Results
Symmetry ... C2/m, No. 12
Uncorrected formation energy ... -1.5708 eV/atom
Energy ... -5.300 eV per atom



DFT (GGA-PBE) results for a geometry-optimized K2Tb2USe6 structure.

Cell: 7.240 7.240 8.216 Å, 98.58 98.58 119.84°
Site moments in Bohr magnetons follow the coordinates.
Element x y z (fractional)
K: 0.832 0.168 0.000  0.00
Se: 0.260 0.260 0.300  -0.03
U: 0.000 0.000 0.500  2.08
Se: 0.604 0.933 0.299  -0.03
Tb: 0.667 0.333 0.500  0.01
K: 0.168 0.832 0.000  0.00
Se: 0.396 0.067 0.701  -0.03
Tb: 0.333 0.667 0.500  0.01
Se: 0.067 0.396 0.701  -0.03
Se: 0.740 0.740 0.700  -0.03
Se: 0.933 0.604 0.299  -0.03

Results
Symmetry ... C2/m, No. 12
Uncorrected formation energy ... -1.5965 eV/atom
Energy ... -5.565 eV per atom



DFT (GGA-PBE) results for a geometry-optimized K4TbU3Se8 structure.

Cell: 8.439 9.148 8.440 Å, 117.48 120.00 90.00°
Site moments in Bohr magnetons follow the coordinates.
Element x y z (fractional)
K: 0.000 0.000 0.000  0.00
Se: 0.236 0.708 0.973  -0.04
K: 0.500 0.000 0.500  0.00
Se: 0.764 0.292 0.027  -0.04
K: 0.000 0.000 0.500  0.00
Tb: 0.000 0.500 0.000  0.14
U: 0.000 0.500 0.500  2.70
Se: 0.263 0.292 0.027  -0.04
U: 0.500 0.500 0.500  2.70
Se: 0.236 0.708 0.471  -0.04
Se: 0.736 0.708 0.472  -0.06
Se: 0.764 0.292 0.529  -0.04
U: 0.500 0.500 0.000  2.69
K: 0.500 0.000 0.000  0.00
Se: 0.264 0.292 0.528  -0.06
Se: 0.737 0.708 0.973  -0.04

Results
Symmetry ... R-3m, No. 166
Uncorrected formation energy ... -1.3560 eV/atom
Energy ... -5.779 eV per atom



DFT (GGA-PBE) results for a geometry-optimized K2TbU2Se6 structure.

Cell: 7.244 7.244 8.217 Å, 98.34 98.34 120.05°
Site moments in Bohr magnetons follow the coordinates.
Element x y z (fractional)
U: 0.666 0.334 0.500  2.44
K: 0.166 0.834 0.000  0.00
Se: 0.065 0.402 0.701  -0.05
Se: 0.402 0.065 0.701  -0.05
Se: 0.268 0.268 0.298  -0.05
U: 0.334 0.666 0.500  2.44
Se: 0.732 0.732 0.702  -0.05
K: 0.834 0.166 0.000  0.00
Tb: 0.000 0.000 0.500  0.04
Se: 0.935 0.598 0.299  -0.05
Se: 0.598 0.935 0.299  -0.05

Results
Symmetry ... C2/m, No. 12
Uncorrected formation energy ... -1.4255 eV/atom
Energy ... -5.999 eV per atom



- Look up the energy of the fourth one.
  -5.999 eV per atom